No. 1
Compound: GaCoP2O
Source: Alexandria
Functional: GGA-PBEsol
Structure: relaxed Values from VASP.

```
&SYSTEM
  ibrav = 0, nat = 5, ntyp = 4
/
ATOMIC_SPECIES
Ga 69.72 Ga.upf
Co 58.93 Co.upf
P 30.97 P.upf
O 16.00 O.upf
CELL_PARAMETERS angstrom
4.8030 0.0000 0.0000
0.0000 4.8030 0.0000
0.0000 0.0000 3.4383
ATOMIC_POSITIONS angstrom
Ga 0.0000 0.0000 0.0000
Co 2.4015 2.4015 1.7191
P 0.0000 2.4015 0.0000
P 2.4015 0.0000 0.0000
O 0.0000 0.0000 1.7191
```

Output
**Calculated density**: 4.33 Mg/m³
**V**: 79 Å³/f.u.
**Raw formation energy**: 727 meV per atom
**Size of the total moment**: 1.88 Bohr magnetons per cell
**Final energy**: -24.3 eV per cell
**Space group**: P4/mmm, No. 123

***

No. 2
Compound: Sc2HgBiBr
Source: Alexandria
Functional: GGA-PBEsol
Structure: relaxed Values from VASP.

```
&SYSTEM
  ibrav = 0, nat = 5, ntyp = 4
/
ATOMIC_SPECIES
Sc 44.96 Sc.upf
Hg 200.59 Hg.upf
Bi 208.98 Bi.upf
Br 79.90 Br.upf
CELL_PARAMETERS angstrom
4.9421 0.0000 0.0000
0.0000 4.9421 0.0000
0.0000 0.0000 5.5963
ATOMIC_POSITIONS angstrom
Sc 0.0000 2.4711 0.0000
Sc 2.4711 0.0000 0.0000
Hg 0.0000 0.0000 2.7981
Bi 2.4711 2.4711 2.7981
Br 2.4711 2.4711 0.0000
```

Output
**Calculated density**: 7.04 Mg/m³
**V**: 137 Å³/f.u.
**Raw formation energy**: 139 meV per atom
**Size of the total moment**: 0.00 Bohr magnetons per cell
**Final energy**: -19.2 eV per cell
**Space group**: P4/mmm, No. 123

***

No. 3
Compound: TlSb2Pb
Source: Alexandria
Functional: GGA-PBEsol
Structure: relaxed Values from VASP.

```
&SYSTEM
  ibrav = 0, nat = 4, ntyp = 3
/
ATOMIC_SPECIES
Tl 204.38 Tl.upf
Sb 121.76 Sb.upf
Pb 207.20 Pb.upf
CELL_PARAMETERS angstrom
3.2873 -5.1436 0.0000
3.2873 5.1436 0.0000
-0.1492 0.0000 3.3249
ATOMIC_POSITIONS angstrom
Tl 0.0000 0.0000 0.0000
Sb 1.5691 2.5718 1.6625
Sb 1.5691 -2.5718 1.6625
Pb 3.2873 0.0000 0.0000
```

Output
**Calculated density**: 9.67 Mg/m³
**V**: 112 Å³/f.u.
**Raw formation energy**: 69 meV per atom
**Size of the total moment**: 0.00 Bohr magnetons per cell
**Final energy**: -15.5 eV per cell
**Space group**: C2/m, No. 12

***

No. 4
Compound: Al2FeRh
Source: Alexandria
Functional: GGA-PBEsol
Structure: relaxed Values from VASP.

```
&SYSTEM
  ibrav = 0, nat = 4, ntyp = 3
/
ATOMIC_SPECIES
Al 26.98 Al.upf
Fe 55.84 Fe.upf
Rh 102.91 Rh.upf
CELL_PARAMETERS angstrom
0.0000 2.9069 2.9069
2.9069 0.0000 2.9069
2.9069 2.9069 0.0000
ATOMIC_POSITIONS angstrom
Al 1.4534 1.4534 1.4534
Al 4.3603 4.3603 4.3603
Fe 0.0000 0.0000 0.0000
Rh 2.9069 2.9069 2.9069
```

Output
**Calculated density**: 7.19 Mg/m³
**Formation energy**: -0.7018 eV/atom
**V**: 49 Å³/f.u.
**Size of the total moment**: 0.01 Bohr magnetons per cell
**Final energy**: -28.1 eV per cell
**Space group**: Fm-3m, No. 225

***

No. 5
Compound: MgO
Source: Alexandria
Functional: GGA-PBEsol
Structure: relaxed Values from VASP.

```
&SYSTEM
  ibrav = 0, nat = 12, ntyp = 2
/
ATOMIC_SPECIES
Mg 24.30 Mg.upf
O 16.00 O.upf
CELL_PARAMETERS angstrom
3.2728 0.0000 0.0000
-1.6364 2.8343 0.0000
0.0000 0.0000 15.4669
ATOMIC_POSITIONS angstrom
Mg 0.0000 0.0000 0.0000
Mg 0.0000 0.0000 5.1178
Mg 0.0000 1.8896 2.5580
Mg 0.0000 1.8896 7.7195
Mg 0.0000 1.8896 12.8967
Mg 1.6364 0.9448 10.2909
O 0.0000 0.0000 3.1343
O 0.0000 0.0000 13.4832
O 0.0000 1.8896 0.5751
O 0.0000 1.8896 5.7159
O 0.0000 1.8896 10.8933
O 1.6364 0.9448 8.3094
```

Output
**Calculated density**: 2.80 Mg/m³
**V**: 24 Å³/f.u.
**Raw formation energy**: -2614 meV per atom
**Size of the total moment**: 0.00 Bohr magnetons per cell
**Final energy**: -73.2 eV per cell
**Space group**: P3m1, No. 156

***

No. 6
Compound: Ba2ZrAs
Source: Alexandria
Functional: GGA-PBEsol
Structure: relaxed Values from VASP.

```
&SYSTEM
  ibrav = 0, nat = 4, ntyp = 3
/
ATOMIC_SPECIES
Ba 137.33 Ba.upf
Zr 91.22 Zr.upf
As 74.92 As.upf
CELL_PARAMETERS angstrom
-1.9785 2.8892 5.8323
1.9785 -2.8892 5.8323
1.9785 2.8892 -5.8323
ATOMIC_POSITIONS angstrom
Ba 0.0000 0.0000 0.0000
Ba 0.0000 2.8892 2.1799
Zr 1.9785 0.0000 3.5376
As 0.0000 0.0000 5.2515
```

Output
**Calculated density**: 5.49 Mg/m³
**Formation energy**: -0.2774 eV/atom
**V**: 133 Å³/f.u.
**Size of the total moment**: 0.01 Bohr magnetons per cell
**Final energy**: -19.6 eV per cell
**Space group**: Imm2, No. 44

***

No. 7
Compound: ZrTaGaC2
Source: Alexandria
Functional: GGA-PBEsol
Structure: relaxed Values from VASP.

```
&SYSTEM
  ibrav = 0, nat = 5, ntyp = 4
/
ATOMIC_SPECIES
Zr 91.22 Zr.upf
Ta 180.95 Ta.upf
Ga 69.72 Ga.upf
C 12.01 C.upf
CELL_PARAMETERS angstrom
4.1336 0.0000 0.0000
0.0000 4.1336 0.0000
0.0000 0.0000 5.3570
ATOMIC_POSITIONS angstrom
Zr 0.0000 0.0000 0.0000
Ta 0.0000 0.0000 2.6785
Ga 2.0668 2.0668 0.0000
C 0.0000 2.0668 2.6785
C 2.0668 0.0000 2.6785
```

Output
**Calculated density**: 6.64 Mg/m³
**Formation energy**: 1.5031 eV/atom
**V**: 92 Å³/f.u.
**Size of the total moment**: 0.00 Bohr magnetons per cell
**Final energy**: -36.8 eV per cell
**Space group**: P4/mmm, No. 123

***

No. 8
Compound: InAgSeS
Source: Alexandria
Functional: GGA-PBEsol
Structure: relaxed Values from VASP.

```
&SYSTEM
  ibrav = 0, nat = 8, ntyp = 4
/
ATOMIC_SPECIES
In 114.82 In.upf
Ag 107.87 Ag.upf
Se 78.96 Se.upf
S 32.06 S.upf
CELL_PARAMETERS angstrom
-2.9232 2.9874 5.7996
2.9232 -2.9874 5.7996
2.9232 2.9874 -5.7996
ATOMIC_POSITIONS angstrom
In 2.9232 1.4937 -1.4417
In 0.0000 1.4937 1.4417
Ag 2.9232 1.4937 4.5473
Ag 0.0000 1.4937 7.0518
Se 4.3184 0.0000 2.8998
Se 1.5279 2.9874 2.8998
S 1.4616 0.0772 0.0000
S 1.4616 -0.0772 5.7996
```

Output
**Calculated density**: 5.47 Mg/m³
**V**: 101 Å³/f.u.
**Raw formation energy**: -395 meV per atom
**Size of the total moment**: 0.00 Bohr magnetons per cell
**Final energy**: -32.2 eV per cell
**Space group**: I2_12_12_1, No. 24

***

No. 9
Compound: N
Source: Alexandria
Functional: GGA-PBEsol
Structure: relaxed Values from VASP.

```
&SYSTEM
  ibrav = 0, nat = 1, ntyp = 1
/
ATOMIC_SPECIES
N 14.01 N.upf
CELL_PARAMETERS angstrom
0.0000 1.5334 1.5334
1.5334 0.0000 1.5334
1.5334 1.5334 0.0000
ATOMIC_POSITIONS angstrom
N 0.0000 0.0000 0.0000
```

Output
**Calculated density**: 3.23 Mg/m³
**V**: 7 Å³/f.u.
**Raw formation energy**: 4211 meV per atom
**Size of the total moment**: 0.00 Bohr magnetons per cell
**Distance to the lowest polymorph of the same formula**: 4211.2 meV/atom
**Final energy**: -4.3 eV per cell
**Space group**: Fm-3m, No. 225

***

No. 10
Compound: Cd2GaBi
Source: Alexandria
Functional: GGA-PBEsol
Structure: relaxed Values from VASP.

```
&SYSTEM
  ibrav = 0, nat = 4, ntyp = 3
/
ATOMIC_SPECIES
Cd 112.41 Cd.upf
Ga 69.72 Ga.upf
Bi 208.98 Bi.upf
CELL_PARAMETERS angstrom
0.0000 3.6287 3.6287
3.6287 0.0000 3.6287
3.6287 3.6287 0.0000
ATOMIC_POSITIONS angstrom
Cd 1.8144 1.8144 1.8144
Cd 5.4431 5.4431 5.4431
Ga 0.0000 0.0000 0.0000
Bi 3.6287 3.6287 3.6287
```

Output
**Calculated density**: 8.75 Mg/m³
**Formation energy**: 0.1075 eV/atom
**V**: 96 Å³/f.u.
**Size of the total moment**: 0.00 Bohr magnetons per cell
**Final energy**: -9.6 eV per cell
**Space group**: Fm-3m, No. 225

***

No. 11
Compound: Ag2BrCl
Source: Alexandria
Functional: GGA-PBEsol
Structure: relaxed Values from VASP.

```
&SYSTEM
  ibrav = 0, nat = 8, ntyp = 3
/
ATOMIC_SPECIES
Ag 107.87 Ag.upf
Br 79.90 Br.upf
Cl 35.45 Cl.upf
CELL_PARAMETERS angstrom
-3.0031 3.0031 5.9621
3.0031 -3.0031 5.9621
3.0031 3.0031 -5.9621
ATOMIC_POSITIONS angstrom
Ag 4.5047 1.4124 -1.4905
Ag 1.4124 1.5016 1.4905
Ag -1.5016 1.5908 4.4716
Ag 1.5908 1.5016 7.4526
Br 3.0031 0.0000 2.9811
Br 0.0000 0.0000 5.9621
Cl 0.0000 0.0000 0.0000
Cl 0.0000 3.0031 2.9811
```

Output
**Calculated density**: 5.11 Mg/m³
**V**: 108 Å³/f.u.
**Raw formation energy**: -302 meV per atom
**Size of the total moment**: 0.00 Bohr magnetons per cell
**Distance to the lowest polymorph of the same formula**: 9.7 meV/atom
**Final energy**: -23.4 eV per cell
**Space group**: I-42d, No. 122

***

No. 12
Compound: Li2Ca2Cd
Source: Alexandria
Functional: GGA-PBEsol
Structure: relaxed Values from VASP.

```
&SYSTEM
  ibrav = 0, nat = 10, ntyp = 3
/
ATOMIC_SPECIES
Li 6.94 Li.upf
Ca 40.08 Ca.upf
Cd 112.41 Cd.upf
CELL_PARAMETERS angstrom
7.3778 0.0000 0.0000
0.0000 7.3778 0.0000
0.0000 0.0000 4.9003
ATOMIC_POSITIONS angstrom
Li 0.9603 2.7286 0.0000
Li 2.7286 6.4175 0.0000
Li 4.6492 0.9603 0.0000
Li 6.4175 4.6492 0.0000
Ca 1.3659 5.0548 2.4501
Ca 2.3230 1.3659 2.4501
Ca 5.0548 6.0119 2.4501
Ca 6.0119 2.3230 2.4501
Cd 0.0000 0.0000 0.0000
Cd 3.6889 3.6889 0.0000
```

Output
**Calculated density**: 2.57 Mg/m³
**Formation energy**: -0.0771 eV/atom
**V**: 133 Å³/f.u.
**Size of the total moment**: 0.00 Bohr magnetons per cell
**Distance to the lowest polymorph of the same formula**: 0.0 meV/atom
**Final energy**: -19.6 eV per cell
**Space group**: P4/mbm, No. 127